Record 1
The following is a DFT calculation (PBE) of an optimized crystal structure of PmTaRh.

Cell lengths 3.3437, 3.9936, 5.2940 Å; angles 90.00, 90.00, 90.00 degrees
Space group Pmmm (No. 47)
Inequivalent atoms, fractional coordinates:
Pm 0.0000 0.0000 0.0000
Ta 0.0000 0.5000 0.5000
Rh 0.5000 0.0000 0.5000

Calculated values
ΔH_f (0 K) ... 0.0214 eV/atom
E_tot ... -7.963 eV/atom


Record 2
The following is a DFT calculation (PBE) of an optimized crystal structure of Rb3CdHg8.

Cell lengths 6.4933, 6.4933, 32.4630 Å; angles 90.00, 90.00, 120.00 degrees
Space group R3m (No. 160, hexagonal axes)
Inequivalent atoms, fractional coordinates:
Rb 0.0000 0.0000 0.0000
Rb 0.0000 0.0000 0.1288
Rb 0.0000 0.0000 0.5123
Cd 0.0000 0.0000 0.6357
Hg 0.0000 0.0000 0.3161
Hg 0.0000 0.0000 0.8162
Hg 0.0014 0.5007 0.0662
Hg 0.1671 0.3343 0.9011

Calculated values
ΔH_f (0 K) ... -0.1588 eV/atom
E_tot ... -0.678 eV/atom
Distance to the lowest polymorph of the same formula ... 0.000 eV per atom


Record 3
The following is a DFT calculation (PBE) of an optimized crystal structure of Mg4SnPb2.

Cell lengths 8.8974, 8.8974, 9.1197 Å; angles 90.00, 90.00, 90.00 degrees
Space group I-42d (No. 122)
Inequivalent atoms, fractional coordinates:
Mg 0.0784 0.6765 0.4674
Sn 0.0000 0.0000 0.5000
Pb 0.1036 0.7500 0.1250

Calculated values
ΔH_f (0 K) ... -0.0320 eV/atom
E_tot ... -2.575 eV/atom
Distance to the lowest polymorph of the same formula ... 0.000 eV per atom


Record 4
The following is a DFT calculation (PBE) of an optimized crystal structure of LiLa2Tl.

Cell lengths 4.7323, 4.7323, 10.5273 Å; angles 90.00, 90.00, 90.00 degrees
Space group I-4m2 (No. 119)
Inequivalent atoms, fractional coordinates:
Li 0.0000 0.0000 0.0000
La 0.0000 0.0000 0.5000
La 0.0000 0.5000 0.2500
Tl 0.0000 0.5000 0.7500

Calculated values
ΔH_f (0 K) ... -0.1605 eV/atom
E_tot ... -3.694 eV/atom


Record 5
The following is a DFT calculation (PBE) of an optimized crystal structure of Ac5La2Tl4.

Cell lengths 25.1134, 3.8847, 9.1382 Å; angles 90.00, 109.86, 90.00 degrees
Space group C2/m (No. 12)
Inequivalent atoms, fractional coordinates:
Ac 0.0000 0.0000 0.0000
Ac 0.1267 0.5000 0.9515
Ac 0.1680 0.5000 0.4224
La 0.2305 0.0000 0.8111
Tl 0.0141 0.5000 0.3306
Tl 0.0882 0.0000 0.6089

Calculated values
ΔH_f (0 K) ... -0.0378 eV/atom
E_tot ... -3.662 eV/atom